The following is a DFT calculation (PBE-GGA) of a relaxed GePb2Au crystal.

Results
Raw total energy: -3.62 eV/atom
Crystal system: cubic
V: 25.09 Å³ per atom

Cell and atoms, written as CIF:
```
data_GePb2Au
_chemical_formula_sum 'Ge1 Pb2 Au1'
_cell_length_a 5.216
_cell_length_b 5.216
_cell_length_c 5.216
_cell_angle_alpha 60.00
_cell_angle_beta 60.00
_cell_angle_gamma 60.00
_space_group_name_H-M_alt 'P 1'
_space_group_IT_number 1
_space_group_name_Hall 'P 1'
loop_
_atom_site_label
_atom_site_type_symbol
_atom_site_fract_x
_atom_site_fract_y
_atom_site_fract_z
_atom_site_occupancy
Au1 Au 0.500 0.500 0.500 1
Ge1 Ge 0.750 0.750 0.750 1
Pb1 Pb 0.000 0.000 0.000 1
Pb2 Pb 0.250 0.250 0.250 1
```

The following is a DFT calculation (PBE-GGA) of a relaxed Sc2GePbAu2 crystal.

Results
Raw total energy: -5.19 eV/atom
Crystal system: monoclinic
V: 22.49 Å³ per atom

Cell and atoms, written as CIF:
```
data_Sc2GePbAu2
_chemical_formula_sum 'Sc8 Ge4 Pb4 Au8'
_cell_length_a 11.188
_cell_length_b 4.569
_cell_length_c 11.201
_cell_angle_alpha 90.00
_cell_angle_beta 109.49
_cell_angle_gamma 90.00
_space_group_name_H-M_alt 'P 1'
_space_group_IT_number 1
_space_group_name_Hall 'P 1'
loop_
_atom_site_label
_atom_site_type_symbol
_atom_site_fract_x
_atom_site_fract_y
_atom_site_fract_z
_atom_site_occupancy
Au1 Au 0.003 0.000 0.013 1
Au2 Au 0.372 0.500 0.132 1
Au3 Au 0.738 0.000 0.238 1
Au4 Au 0.132 0.500 0.373 1
Au5 Au 0.488 0.000 0.489 1
Au6 Au 0.874 0.500 0.625 1
Au7 Au 0.253 0.000 0.737 1
Au8 Au 0.638 0.500 0.887 1
Ge1 Ge 0.753 0.000 0.002 1
Ge2 Ge 0.126 0.500 0.128 1
Ge3 Ge 0.497 0.000 0.248 1
Ge4 Ge 0.249 0.000 0.496 1
Pb1 Pb 0.873 0.500 0.372 1
Pb2 Pb 0.623 0.500 0.625 1
Pb3 Pb 0.003 0.000 0.754 1
Pb4 Pb 0.376 0.500 0.875 1
Sc1 Sc 0.251 0.000 0.007 1
Sc2 Sc 0.619 0.500 0.125 1
Sc3 Sc 0.002 0.000 0.253 1
Sc4 Sc 0.371 0.500 0.372 1
Sc5 Sc 0.742 0.000 0.493 1
Sc6 Sc 0.127 0.500 0.618 1
Sc7 Sc 0.507 0.000 0.752 1
Sc8 Sc 0.882 0.500 0.887 1
```

The following is a DFT calculation (PBE-GGA) of a relaxed Ge5Pd3Au crystal.

Results
Raw total energy: -4.64 eV/atom
Crystal system: hexagonal
V: 18.64 Å³ per atom

Cell and atoms, written as CIF:
```
data_Ge5Pd3Au
_chemical_formula_sum 'Ge5 Pd3 Au1'
_cell_length_a 5.336
_cell_length_b 5.336
_cell_length_c 6.803
_cell_angle_alpha 90.00
_cell_angle_beta 90.00
_cell_angle_gamma 120.00
_space_group_name_H-M_alt 'P 1'
_space_group_IT_number 1
_space_group_name_Hall 'P 1'
loop_
_atom_site_label
_atom_site_type_symbol
_atom_site_fract_x
_atom_site_fract_y
_atom_site_fract_z
_atom_site_occupancy
Au1 Au 0.000 0.000 0.000 1
Ge1 Ge 0.667 0.333 0.187 1
Ge2 Ge 0.333 0.667 0.187 1
Ge3 Ge 0.000 0.000 0.500 1
Ge4 Ge 0.667 0.333 0.813 1
Ge5 Ge 0.333 0.667 0.813 1
Pd1 Pd 0.500 0.000 0.500 1
Pd2 Pd 0.000 0.500 0.500 1
Pd3 Pd 0.500 0.500 0.500 1
```

The following is a DFT calculation (PBE-GGA) of a relaxed Ge2PdAu crystal.

Results
Raw total energy: -4.32 eV/atom
Crystal system: cubic
V: 17.64 Å³ per atom

Cell and atoms, written as CIF:
```
data_Ge2PdAu
_chemical_formula_sum 'Ge2 Pd1 Au1'
_cell_length_a 4.638
_cell_length_b 4.638
_cell_length_c 4.638
_cell_angle_alpha 60.00
_cell_angle_beta 60.00
_cell_angle_gamma 60.00
_space_group_name_H-M_alt 'P 1'
_space_group_IT_number 1
_space_group_name_Hall 'P 1'
loop_
_atom_site_label
_atom_site_type_symbol
_atom_site_fract_x
_atom_site_fract_y
_atom_site_fract_z
_atom_site_occupancy
Au1 Au 0.250 0.250 0.250 1
Ge1 Ge 0.000 0.000 0.000 1
Ge2 Ge 0.750 0.750 0.750 1
Pd1 Pd 0.500 0.500 0.500 1
```

The following is a DFT calculation (PBE-GGA) of a relaxed Sr3Ge4Pd2Au2 crystal.

Results
Polymorph energy (0 for the lowest one): 0.000 eV per atom
Crystal system: orthorhombic
V: 23.28 Å³ per atom

Cell and atoms, written as CIF:
```
data_Sr3Ge4Pd2Au2
_chemical_formula_sum 'Sr3 Ge4 Pd2 Au2'
_cell_length_a 13.032
_cell_length_b 13.032
_cell_length_c 13.032
_cell_angle_alpha 160.12
_cell_angle_beta 160.10
_cell_angle_gamma 28.27
_space_group_name_H-M_alt 'P 1'
_space_group_IT_number 1
_space_group_name_Hall 'P 1'
loop_
_atom_site_label
_atom_site_type_symbol
_atom_site_fract_x
_atom_site_fract_y
_atom_site_fract_z
_atom_site_occupancy
Au1 Au 0.099 0.099 0.000 1
Au2 Au 0.901 0.901 0.000 1
Ge1 Ge 0.202 0.202 0.000 1
Ge2 Ge 0.798 0.798 0.000 1
Ge3 Ge 0.951 0.451 0.500 1
Ge4 Ge 0.049 0.549 0.500 1
Pd1 Pd 0.750 0.250 0.500 1
Pd2 Pd 0.250 0.750 0.500 1
Sr1 Sr 0.351 0.351 0.000 1
Sr2 Sr 0.649 0.649 0.000 1
Sr3 Sr 0.500 0.000 0.500 1
```

The following is a DFT calculation (PBE-GGA) of a relaxed Sr3Ge4Pd2Au2 crystal.

Results
Polymorph energy (0 for the lowest one): 0.071 eV per atom
Crystal system: orthorhombic
V: 23.46 Å³ per atom

Cell and atoms, written as CIF:
```
data_Sr3Ge4Pd2Au2
_chemical_formula_sum 'Sr3 Ge4 Pd2 Au2'
_cell_length_a 13.074
_cell_length_b 13.074
_cell_length_c 13.074
_cell_angle_alpha 160.26
_cell_angle_beta 159.99
_cell_angle_gamma 28.25
_space_group_name_H-M_alt 'P 1'
_space_group_IT_number 1
_space_group_name_Hall 'P 1'
loop_
_atom_site_label
_atom_site_type_symbol
_atom_site_fract_x
_atom_site_fract_y
_atom_site_fract_z
_atom_site_occupancy
Au1 Au 0.249 0.249 0.000 1
Au2 Au 0.751 0.751 0.000 1
Ge1 Ge 0.451 0.451 0.000 1
Ge2 Ge 0.549 0.549 0.000 1
Ge3 Ge 0.693 0.193 0.500 1
Ge4 Ge 0.307 0.807 0.500 1
Pd1 Pd 0.595 0.095 0.500 1
Pd2 Pd 0.405 0.905 0.500 1
Sr1 Sr 0.000 0.000 0.000 1
Sr2 Sr 0.853 0.353 0.500 1
Sr3 Sr 0.147 0.647 0.500 1
```